No. 1
Computed, not measured: a geometry-optimized Mg2CoRhN structure at the PBE-GGA level of DFT.

Results
- N(E_F) (states/eV/cell) = 2.65
- raw formation energy (eV per atom) = 0.6288

a b c (Å): 5.0733 5.0733 3.6785
angles (deg): 90.00 90.00 90.00
Last column: nearest neighbours and their distance in Å.
Element x y z (fractional)
Mg (0.0000, 0.5000, 0.0000)  2 Rh 2.54
Mg (0.5000, 0.0000, 0.0000)  2 Rh 2.54
Co (0.0000, 0.0000, 0.5000)  8 Mg 3.13
Rh (0.5000, 0.5000, 0.0000)  2 N 1.84
N (0.5000, 0.5000, 0.5000)  2 Rh 1.84



No. 2
Computed, not measured: a geometry-optimized MgCoS2N structure at the PBE-GGA level of DFT.

Results
- N(E_F) (states/eV/cell) = 5.10
- raw formation energy (eV per atom) = 1.1390
- E above lowest polymorph (meV per atom) = 1143

a b c (Å): 4.7916 4.7916 3.8350
angles (deg): 90.00 90.00 90.00
Last column: nearest neighbours and their distance in Å.
Element x y z (fractional)
Mg (0.0000, 0.0000, 0.0000)  2 N 1.92
Co (0.5000, 0.5000, 0.5000)  8 S 3.07, 4 N 3.39
S (0.0000, 0.5000, 0.0000)  2 Mg 2.40
S (0.5000, 0.0000, 0.0000)  2 Mg 2.40
N (0.0000, 0.0000, 0.5000)  2 Mg 1.92



No. 3
Computed, not measured: a geometry-optimized MgCoS2N structure at the PBE-GGA level of DFT.

Results
- N(E_F) (states/eV/cell) = 2.38
- raw formation energy (eV per atom) = -0.0037
- E above lowest polymorph (meV per atom) = 0

a b c (Å): 4.7340 4.7340 3.3829
angles (deg): 90.00 90.00 90.00
Last column: nearest neighbours and their distance in Å.
Element x y z (fractional)
Mg (0.0000, 0.0000, 0.0000)  8 S 2.91
Co (0.5000, 0.5000, 0.5000)  2 N 1.69
S (0.0000, 0.5000, 0.5000)  2 Co 2.37
S (0.5000, 0.0000, 0.5000)  2 Co 2.37
N (0.5000, 0.5000, 0.0000)  2 Co 1.69



No. 4
Computed, not measured: a geometry-optimized MgCo2SbN structure at the PBE-GGA level of DFT.

Results
- N(E_F) (states/eV/cell) = 6.55
- raw formation energy (eV per atom) = 2.2661

a b c (Å): 4.3801 4.3801 5.1907
angles (deg): 90.00 90.00 90.00
Last column: nearest neighbours and their distance in Å.
Element x y z (fractional)
Mg (0.0000, 0.0000, 0.0000)  4 Co 2.19
Co (0.0000, 0.5000, 0.0000)  2 Mg 2.19
Co (0.5000, 0.0000, 0.0000)  2 Mg 2.19
Sb (0.0000, 0.0000, 0.5000)  2 Mg 2.60
N (0.5000, 0.5000, 0.5000)  4 Sb 3.10, 8 Co 3.40